This record from Alexandria via LeMat-Bulk describes a relaxed structure of SiH. The functional is PBE.

Cell: 5.846 5.846 4.564 Å, 90.00 90.00 120.00°
Fractional coordinates of all 12 atoms:
Si 0.036 0.465 0.250
Si 0.429 0.964 0.250
Si 0.465 0.429 0.750
Si 0.535 0.571 0.250
Si 0.571 0.036 0.750
Si 0.964 0.535 0.750
H 0.023 0.200 0.250
H 0.177 0.977 0.250
H 0.200 0.177 0.750
H 0.800 0.823 0.250
H 0.823 0.023 0.750
H 0.977 0.800 0.750

Summary:
The offset from the most stable computed form is 0.60 eV per formula unit. The calculation puts the density of states at the Fermi level at 1.8 states/eV per cell. The value obtained for the size of the total moment is 0.00 μB/atom.